! LiHg2Rh GGA-PBE optimized geometry; values from VASP
&SYSTEM
  ibrav = 0, nat = 8, ntyp = 3
/
ATOMIC_SPECIES
Li 6.94 Li.upf
Hg 200.59 Hg.upf
Rh 102.91 Rh.upf
ATOMIC_POSITIONS angstrom
Li 0.000 0.000 0.000
Li 2.018 2.018 4.290
Hg 0.000 0.000 4.290
Hg 0.000 2.018 2.145
Hg 2.018 0.000 6.435
Hg 2.018 2.018 0.000
Rh 0.000 2.018 6.435
Rh 2.018 0.000 2.145
CELL_PARAMETERS angstrom
4.036 0.000 0.000
0.000 4.036 0.000
0.000 0.000 8.580
! Spin magnetization   0.000 Bohr magnetons per cell
! E   -20.56 eV for the cell shown
! E_form   -0.103 eV per atom